ScTa2Pb: relaxed, PBEsol. Values from VASP.

Properties
Spin magnetization (μB per cell): 0.000
Energy of formation (meV/atom): 158

Quantum ESPRESSO input file:
```
&SYSTEM
  ibrav = 0, nat = 8, ntyp = 3
/
ATOMIC_SPECIES
Sc 44.96 Sc.upf
Ta 180.95 Ta.upf
Pb 207.20 Pb.upf
ATOMIC_POSITIONS crystal
Sc 0.000 0.000 0.000
Sc 0.500 0.500 0.500
Ta 0.000 0.500 0.250
Ta 0.000 0.500 0.750
Ta 0.500 0.000 0.250
Ta 0.500 0.000 0.750
Pb 0.000 0.000 0.500
Pb 0.500 0.500 0.000
CELL_PARAMETERS angstrom
4.080 0.000 0.000
0.000 4.080 0.000
0.000 0.000 9.455
```

=====

CsAl2Si2: relaxed, PBEsol. Values from VASP.

Properties
E_form (uncorrected) (meV/atom): 15
Distance to the lowest polymorph of the same formula (meV per atom): 0
Spin magnetization (μB per cell): 0.002

Quantum ESPRESSO input file:
```
&SYSTEM
  ibrav = 0, nat = 10, ntyp = 3
/
ATOMIC_SPECIES
Cs 132.91 Cs.upf
Al 26.98 Al.upf
Si 28.09 Si.upf
ATOMIC_POSITIONS crystal
Cs 0.000 0.000 0.000
Cs 0.500 0.500 0.500
Al 0.000 0.500 0.250
Al 0.000 0.500 0.750
Al 0.500 0.000 0.250
Al 0.500 0.000 0.750
Si 0.000 0.000 0.351
Si 0.000 0.000 0.649
Si 0.500 0.500 0.149
Si 0.500 0.500 0.851
CELL_PARAMETERS angstrom
3.958 0.000 0.000
0.000 3.958 0.000
0.000 0.000 16.223
```

=====

Bi2PO6: relaxed, PBEsol. Values from VASP.

Properties
E_form (uncorrected) (meV/atom): -1573
Distance to the lowest polymorph of the same formula (meV per atom): 9
Spin magnetization (μB per cell): 0.816

Quantum ESPRESSO input file:
```
&SYSTEM
  ibrav = 0, nat = 18, ntyp = 3
/
ATOMIC_SPECIES
Bi 208.98 Bi.upf
P 30.97 P.upf
O 16.00 O.upf
ATOMIC_POSITIONS crystal
Bi 0.087 0.913 0.750
Bi 0.413 0.587 0.750
Bi 0.587 0.413 0.250
Bi 0.913 0.087 0.250
P 0.250 0.750 0.250
P 0.750 0.250 0.750
O 0.031 0.667 0.401
O 0.167 0.531 0.099
O 0.250 0.250 0.486
O 0.250 0.250 0.986
O 0.333 0.969 0.099
O 0.469 0.833 0.401
O 0.531 0.167 0.599
O 0.667 0.031 0.901
O 0.750 0.750 0.014
O 0.750 0.750 0.514
O 0.833 0.469 0.901
O 0.969 0.333 0.599
CELL_PARAMETERS angstrom
2.822 -7.142 0.000
2.822 7.142 0.000
0.000 0.000 5.671
```

=====

La3YZr: relaxed, PBEsol. Values from VASP.

Properties
Spin magnetization (μB per cell): 0.000
Energy of formation (meV/atom): 526

Quantum ESPRESSO input file:
```
&SYSTEM
  ibrav = 0, nat = 5, ntyp = 3
/
ATOMIC_SPECIES
La 138.91 La.upf
Y 88.91 Y.upf
Zr 91.22 Zr.upf
ATOMIC_POSITIONS crystal
La 0.000 0.000 0.500
La 0.000 0.500 0.000
La 0.500 0.000 0.000
Y 0.500 0.500 0.500
Zr 0.000 0.000 0.000
CELL_PARAMETERS angstrom
5.642 0.000 0.000
0.000 5.642 0.000
0.000 0.000 5.642
```

=====

NaSeS3: relaxed, PBEsol. Values from VASP.

Properties
E_form (uncorrected) (meV/atom): 86
Spin magnetization (μB per cell): 0.001

Quantum ESPRESSO input file:
```
&SYSTEM
  ibrav = 0, nat = 5, ntyp = 3
/
ATOMIC_SPECIES
Na 22.99 Na.upf
Se 78.96 Se.upf
S 32.06 S.upf
ATOMIC_POSITIONS crystal
Na 0.000 0.000 0.000
Se 0.500 0.500 0.500
S 0.000 0.500 0.500
S 0.500 0.000 0.500
S 0.500 0.500 0.000
CELL_PARAMETERS angstrom
4.796 0.000 0.000
0.000 4.796 0.000
0.000 0.000 4.796
```

=====

ZrTc3: relaxed, PBEsol. Values from VASP.

Properties
Spin magnetization (μB per cell): 0.000
Energy of formation (meV/atom): -45

Quantum ESPRESSO input file:
```
&SYSTEM
  ibrav = 0, nat = 8, ntyp = 2
/
ATOMIC_SPECIES
Zr 91.22 Zr.upf
Tc 98.00 Tc.upf
ATOMIC_POSITIONS crystal
Zr 0.000 0.000 0.000
Zr 0.500 0.500 0.500
Tc 0.000 0.000 0.500
Tc 0.000 0.500 0.246
Tc 0.000 0.500 0.754
Tc 0.500 0.000 0.254
Tc 0.500 0.000 0.746
Tc 0.500 0.500 0.000
CELL_PARAMETERS angstrom
3.113 0.000 0.000
0.000 4.474 0.000
0.000 0.000 8.885
```

=====

The highest spin magnetization belongs to which entry?
Bi2PO6

=====

What is the spin magnetization in the second record?
0.002 μB per cell

=====

Copy entry 3 word for word.
Bi2PO6: relaxed, PBEsol. Values from VASP.

Properties
E_form (uncorrected) (meV/atom): -1573
Distance to the lowest polymorph of the same formula (meV per atom): 9
Spin magnetization (μB per cell): 0.816

Quantum ESPRESSO input file:
```
&SYSTEM
  ibrav = 0, nat = 18, ntyp = 3
/
ATOMIC_SPECIES
Bi 208.98 Bi.upf
P 30.97 P.upf
O 16.00 O.upf
ATOMIC_POSITIONS crystal
Bi 0.087 0.913 0.750
Bi 0.413 0.587 0.750
Bi 0.587 0.413 0.250
Bi 0.913 0.087 0.250
P 0.250 0.750 0.250
P 0.750 0.250 0.750
O 0.031 0.667 0.401
O 0.167 0.531 0.099
O 0.250 0.250 0.486
O 0.250 0.250 0.986
O 0.333 0.969 0.099
O 0.469 0.833 0.401
O 0.531 0.167 0.599
O 0.667 0.031 0.901
O 0.750 0.750 0.014
O 0.750 0.750 0.514
O 0.833 0.469 0.901
O 0.969 0.333 0.599
CELL_PARAMETERS angstrom
2.822 -7.142 0.000
2.822 7.142 0.000
0.000 0.000 5.671
```

=====

spin magnetization of number 4 (La3YZr)?
0.000 μB per cell